The following is a GGA-PBE calculation of an optimized crystal structure of Na4HoPu3Te8, from Alexandria.

Geometry as POSCAR:
```
Na4HoPu3Te8
1.0
-2.268 -2.880 -8.174
2.602 -8.426 2.247
-6.026 4.257 5.080
Te Pu Na Ho
8 3 4 1
direct
0.242 0.733 0.485
0.758 0.267 0.009
0.256 0.267 0.511
0.749 0.733 0.991
0.242 0.733 0.991
0.251 0.267 0.009
0.744 0.733 0.489
0.758 0.267 0.515
0.500 0.500 0.500
0.500 0.500 0.000
0.000 0.500 0.500
0.000 0.000 0.000
0.000 0.000 0.500
0.500 0.000 0.000
0.500 0.000 0.500
0.000 0.500 0.000
```

Calculated values
Total moment: 0.937 μB/atom
N(E_F): 40.46 states/eV per cell
Space-group type: No. 166


The following is a GGA-PBE calculation of an optimized crystal structure of NaHo3Ru, from Alexandria.

Geometry as POSCAR:
```
NaHo3Ru
1.0
5.407 0.000 0.000
0.000 5.407 0.000
0.000 0.000 5.407
Ru Ho Na
1 3 1
direct
0.000 0.000 0.000
0.000 0.500 0.000
0.500 0.000 0.000
0.000 0.000 0.500
0.500 0.500 0.500
```

Calculated values
Total moment: 0.000 μB/atom
N(E_F): 3.77 states/eV per cell
Space-group type: No. 221
DFT formation energy: -1.442 kcal/mol of atoms


The following is a GGA-PBE calculation of an optimized crystal structure of NaHo5S6, from Alexandria.

Geometry as POSCAR:
```
NaHo5S6
1.0
-4.490 -4.000 -3.101
2.181 -6.382 0.178
-1.689 -3.999 5.156
Ho S Na
5 6 1
direct
0.000 0.665 0.669
0.500 0.163 0.674
0.000 0.335 0.331
0.500 0.837 0.326
0.500 0.500 0.000
0.753 0.749 0.000
0.247 0.251 0.000
0.253 0.581 0.336
0.253 0.916 0.664
0.747 0.419 0.664
0.747 0.084 0.336
0.000 0.000 0.000
```

Calculated values
Total moment: 0.000 μB/atom
N(E_F): 4.24 states/eV per cell
Space-group type: No. 12


no.,calculated total energy (eV/atom)
1,-5.972
2,-4.928
3,-6.015